a | Below is Nd7Ho2Er3 after structural relaxation, with properties calculated at the PBE level.

Summary:
Space-group type: Cmmm (65)
N(E_F) (states/eV/cell): 19.445

Lattice parameters (Å, degrees): 3.636 5.806 19.350 98.63 90.00 90.00
Atoms (fractional coordinates):
1 Nd 0.000 0.407 0.814
2 Nd 0.000 0.768 0.535
3 Nd 0.000 0.000 0.000
4 Nd 0.000 0.593 0.186
5 Nd 0.500 0.073 0.145
6 Nd 0.500 0.927 0.855
7 Nd 0.000 0.232 0.465
8 Ho 0.000 0.851 0.702
9 Ho 0.000 0.149 0.298
10 Er 0.500 0.500 0.000
11 Er 0.500 0.684 0.369
12 Er 0.500 0.316 0.631

b | Below is Nd7Ho2Er3 after structural relaxation, with properties calculated at the PBE level.

Summary:
Space-group type: P2/m (10)
N(E_F) (states/eV/cell): 18.388

Lattice parameters (Å, degrees): 5.519 6.297 12.287 90.09 90.00 89.99
Atoms (fractional coordinates):
1 Nd 0.500 0.245 0.455
2 Nd 0.500 0.755 0.545
3 Nd 0.000 0.444 0.184
4 Nd 0.000 0.000 0.000
5 Nd 0.000 0.556 0.816
6 Nd 0.500 0.909 0.828
7 Nd 0.500 0.091 0.172
8 Ho 0.500 0.616 0.276
9 Ho 0.500 0.384 0.724
10 Er 0.500 0.500 0.000
11 Er 0.000 0.933 0.344
12 Er 0.000 0.067 0.656

Relative energy of each structure, in meV/atom: a 0; b 165.

a | Below is NdHo6Er8 after structural relaxation, with properties calculated at the PBE level.

Summary:
Space-group type: P-3 (147)
N(E_F) (states/eV/cell): 21.336

Lattice parameters (Å, degrees): 6.423 9.368 9.368 120.00 90.00 90.00
Atoms (fractional coordinates):
1 Nd 0.500 0.000 0.000
2 Ho 0.589 0.681 0.099
3 Ho 0.589 0.901 0.582
4 Ho 0.589 0.418 0.319
5 Ho 0.411 0.319 0.901
6 Ho 0.411 0.099 0.418
7 Ho 0.411 0.582 0.681
8 Er 0.907 0.976 0.314
9 Er 0.907 0.686 0.662
10 Er 0.907 0.338 0.024
11 Er 0.093 0.024 0.686
12 Er 0.093 0.314 0.338
13 Er 0.093 0.662 0.976
14 Er 0.838 0.333 0.667
15 Er 0.162 0.667 0.333

b | Below is NdHo6Er8 after structural relaxation, with properties calculated at the PBE level.

Summary:
Space-group type: R-3 (148)
N(E_F) (states/eV/cell): 22.112

Lattice parameters (Å, degrees): 8.964 8.964 8.551 58.39 58.39 60.00
Atoms (fractional coordinates):
1 Nd 0.000 0.000 0.000
2 Ho 0.462 0.890 0.877
3 Ho 0.110 0.229 0.123
4 Ho 0.229 0.538 0.123
5 Ho 0.771 0.462 0.877
6 Ho 0.890 0.771 0.877
7 Ho 0.538 0.110 0.123
8 Er 0.257 0.280 0.574
9 Er 0.720 0.110 0.426
10 Er 0.110 0.743 0.426
11 Er 0.576 0.576 0.271
12 Er 0.424 0.424 0.729
13 Er 0.890 0.257 0.574
14 Er 0.280 0.890 0.574
15 Er 0.743 0.720 0.426

Relative energy of each structure, in meV/atom: a 95; b 0.

a | Below is Nd3Ho4Er4 after structural relaxation, with properties calculated at the PBE level.

Summary:
Space-group type: Immm (71)
N(E_F) (states/eV/cell): 14.715

Lattice parameters (Å, degrees): 3.531 11.196 10.921 120.84 99.30 90.00
Atoms (fractional coordinates):
1 Nd 0.890 0.890 0.780
2 Nd 0.110 0.110 0.220
3 Nd 0.000 0.500 0.000
4 Ho 0.782 0.282 0.565
5 Ho 0.218 0.718 0.435
6 Ho 0.500 0.790 0.000
7 Ho 0.500 0.210 0.000
8 Er 0.672 0.428 0.344
9 Er 0.328 0.084 0.656
10 Er 0.328 0.572 0.656
11 Er 0.672 0.916 0.344

b | Below is Nd3Ho4Er4 after structural relaxation, with properties calculated at the PBE level.

Summary:
Space-group type: Amm2 (38)
N(E_F) (states/eV/cell): 16.684

Lattice parameters (Å, degrees): 5.685 6.640 10.565 90.00 90.00 115.35
Atoms (fractional coordinates):
1 Nd 0.408 0.815 0.292
2 Nd 0.408 0.815 0.708
3 Nd 0.255 0.510 0.000
4 Ho 0.752 0.503 0.785
5 Ho 0.752 0.503 0.215
6 Ho 0.890 0.779 0.500
7 Ho 0.957 0.913 0.000
8 Er 0.617 0.233 0.500
9 Er 0.556 0.112 0.000
10 Er 0.103 0.206 0.705
11 Er 0.103 0.206 0.295

Relative energy of each structure, in meV/atom: a 12; b 0.

a | Below is NdHo3Er2 after structural relaxation, with properties calculated at the PBE level.

Summary:
Space-group type: P-1 (2)
N(E_F) (states/eV/cell): 15.220

Lattice parameters (Å, degrees): 7.139 10.136 7.131 79.92 119.87 121.82
Atoms (fractional coordinates):
1 Nd 0.251 0.000 0.250
2 Nd 0.749 0.000 0.750
3 Ho 0.250 0.000 0.750
4 Ho 0.750 0.000 0.250
5 Ho 0.803 0.664 0.860
6 Ho 0.196 0.335 0.639
7 Ho 0.804 0.665 0.361
8 Ho 0.197 0.336 0.140
9 Er 0.303 0.664 0.360
10 Er 0.303 0.665 0.861
11 Er 0.697 0.335 0.139
12 Er 0.697 0.336 0.640

b | Below is NdHo3Er2 after structural relaxation, with properties calculated at the PBE level.

Summary:
Space-group type: C2/c (15)
N(E_F) (states/eV/cell): 16.676

Lattice parameters (Å, degrees): 7.085 6.132 9.375 89.89 112.20 90.00
Atoms (fractional coordinates):
1 Nd 0.874 0.750 0.000
2 Nd 0.126 0.250 0.000
3 Ho 0.624 0.250 0.000
4 Ho 0.376 0.750 0.000
5 Ho 0.043 0.085 0.336
6 Ho 0.706 0.415 0.664
7 Ho 0.294 0.585 0.336
8 Ho 0.957 0.915 0.664
9 Er 0.792 0.583 0.335
10 Er 0.543 0.083 0.335
11 Er 0.457 0.917 0.665
12 Er 0.208 0.417 0.665

Relative energy of each structure, in meV/atom: a 0; b 24.

a | Below is Nd4HoEr5 after structural relaxation, with properties calculated at the PBE level.

Summary:
Space-group type: P-1 (2)
N(E_F) (states/eV/cell): 13.425

Lattice parameters (Å, degrees): 3.519 11.254 8.725 90.05 101.56 89.99
Atoms (fractional coordinates):
1 Nd 0.656 0.250 0.316
2 Nd 0.968 0.250 0.935
3 Nd 0.344 0.750 0.684
4 Nd 0.032 0.750 0.065
5 Ho 0.500 0.000 0.000
6 Er 0.173 0.549 0.346
7 Er 0.173 0.951 0.347
8 Er 0.827 0.049 0.653
9 Er 0.500 0.500 0.000
10 Er 0.827 0.451 0.654

b | Below is Nd4HoEr5 after structural relaxation, with properties calculated at the PBE level.

Summary:
Space-group type: I4mm (107)
N(E_F) (states/eV/cell): 12.623

Lattice parameters (Å, degrees): 5.922 8.111 8.111 82.34 68.59 68.59
Atoms (fractional coordinates):
1 Nd 0.452 0.323 0.677
2 Nd 0.775 0.677 0.677
3 Nd 0.129 0.323 0.323
4 Nd 0.452 0.677 0.323
5 Ho 0.212 0.000 0.000
6 Er 0.762 0.377 0.000
7 Er 0.139 0.000 0.623
8 Er 0.762 0.000 0.377
9 Er 0.139 0.623 0.000
10 Er 0.689 0.000 0.000

Relative energy of each structure, in meV/atom: a 0; b 46.

a | Below is NdHo4Er7 after structural relaxation, with properties calculated at the PBE level.

Summary:
Space-group type: P-1 (2)
N(E_F) (states/eV/cell): 16.353

Lattice parameters (Å, degrees): 7.115 9.402 8.754 81.11 90.03 40.92
Atoms (fractional coordinates):
1 Nd 0.000 0.000 0.000
2 Ho 0.530 0.721 0.335
3 Ho 0.470 0.279 0.665
4 Ho 0.721 0.779 0.666
5 Ho 0.279 0.221 0.334
6 Er 0.750 0.500 0.000
7 Er 0.250 0.500 0.000
8 Er 0.972 0.279 0.665
9 Er 0.028 0.721 0.335
10 Er 0.222 0.778 0.665
11 Er 0.500 0.000 0.000
12 Er 0.778 0.222 0.335

b | Below is NdHo4Er7 after structural relaxation, with properties calculated at the PBE level.

Summary:
Space-group type: C2/m (12)
N(E_F) (states/eV/cell): 20.600

Lattice parameters (Å, degrees): 5.815 11.452 6.672 83.09 64.16 75.29
Atoms (fractional coordinates):
1 Nd 0.000 0.000 0.000
2 Ho 0.632 0.226 0.510
3 Ho 0.368 0.774 0.490
4 Ho 0.752 0.683 0.814
5 Ho 0.248 0.317 0.186
6 Er 0.789 0.923 0.499
7 Er 0.211 0.077 0.501
8 Er 0.060 0.671 0.209
9 Er 0.940 0.329 0.791
10 Er 0.365 0.503 0.767
11 Er 0.500 0.000 0.000
12 Er 0.635 0.497 0.233

Relative energy of each structure, in meV/atom: a 0; b 284.

a | Below is NdHo3Er6 after structural relaxation, with properties calculated at the PBE level.

Summary:
Space-group type: R3 (146)
N(E_F) (states/eV/cell): 20.339

Lattice parameters (Å, degrees): 9.747 9.747 6.832 44.49 44.49 60.00
Atoms (fractional coordinates):
1 Nd 0.899 0.899 0.304
2 Ho 0.397 0.397 0.809
3 Ho 0.642 0.642 0.073
4 Ho 0.148 0.148 0.557
5 Er 0.904 0.567 0.294
6 Er 0.235 0.904 0.294
7 Er 0.567 0.235 0.294
8 Er 0.071 0.405 0.792
9 Er 0.732 0.071 0.792
10 Er 0.405 0.732 0.792

b | Below is NdHo3Er6 after structural relaxation, with properties calculated at the PBE level.

Summary:
Space-group type: Cmc2_1 (36)
N(E_F) (states/eV/cell): 26.855

Lattice parameters (Å, degrees): 6.153 10.881 10.881 119.72 90.00 90.00
Atoms (fractional coordinates):
1 Nd 0.163 0.209 0.791
2 Nd 0.663 0.791 0.209
3 Ho 0.456 0.933 0.717
4 Ho 0.956 0.717 0.933
5 Ho 0.074 0.391 0.609
6 Ho 0.574 0.609 0.391
7 Ho 0.956 0.067 0.283
8 Ho 0.456 0.283 0.067
9 Er 0.026 0.713 0.619
10 Er 0.526 0.619 0.713
11 Er 0.364 0.545 0.966
12 Er 0.864 0.966 0.545
13 Er 0.416 0.952 0.048
14 Er 0.640 0.289 0.711
15 Er 0.140 0.711 0.289
16 Er 0.916 0.048 0.952
17 Er 0.364 0.034 0.455
18 Er 0.864 0.455 0.034
19 Er 0.026 0.381 0.287
20 Er 0.526 0.287 0.381

Relative energy of each structure, in meV/atom: a 139; b 0.

a | Below is Nd3Ho7Er after structural relaxation, with properties calculated at the PBE level.

Summary:
Space-group type: P2/m (10)
N(E_F) (states/eV/cell): 16.371

Lattice parameters (Å, degrees): 8.859 10.125 5.512 90.00 128.44 106.50
Atoms (fractional coordinates):
1 Nd 0.215 0.995 0.715
2 Nd 0.000 0.500 0.000
3 Nd 0.785 0.005 0.285
4 Ho 0.903 0.829 0.903
5 Ho 0.814 0.636 0.315
6 Ho 0.640 0.289 0.140
7 Ho 0.360 0.711 0.860
8 Ho 0.500 0.000 0.500
9 Ho 0.186 0.364 0.685
10 Ho 0.097 0.171 0.097
11 Er 0.500 0.500 0.500

b | Below is Nd3Ho7Er after structural relaxation, with properties calculated at the PBE level.

Summary:
Space-group type: P3m1 (156)
N(E_F) (states/eV/cell): 16.564

Lattice parameters (Å, degrees): 8.665 7.052 7.052 120.00 90.00 90.00
Atoms (fractional coordinates):
1 Nd 0.783 0.500 0.500
2 Nd 0.783 0.500 0.000
3 Nd 0.783 0.000 0.500
4 Ho 0.121 0.167 0.833
5 Ho 0.121 0.167 0.335
6 Ho 0.122 0.667 0.333
7 Ho 0.445 0.833 0.167
8 Ho 0.445 0.335 0.167
9 Ho 0.445 0.833 0.665
10 Ho 0.121 0.665 0.833
11 Er 0.444 0.333 0.667

Relative energy of each structure, in meV/atom: a 0; b 26.